{"formula": "MgBe2W", "functional": "PBE-GGA", "state": "optimized geometry", "dft_energy_ev_per_atom": -4.978, "volume_a3_per_cell": 53.9, "lattice": [[2.7518, 0.0000, 0.0000], [0.0000, 3.8583, 0.0000], [0.0000, 0.0000, 5.0756]], "species": ["Be", "W", "Mg", "Be"], "frac_coords": [[0.0000, 0.0000, 0.9706], [0.5000, 0.5000, 0.7845], [0.0000, 0.0000, 0.4788], [0.5000, 0.5000, 0.2660]]}

---

{"formula": "PmAl4Zn2Pt", "functional": "PBE-GGA", "state": "optimized geometry", "dft_energy_ev_per_atom": -4.010, "volume_a3_per_cell": 148.2, "lattice": [[-1.8304, -2.9908, 2.5358], [2.2260, -3.5346, 1.1302], [3.2788, 2.1727, 8.6214]], "species": ["Pt", "Zn", "Al", "Pm", "Al", "Zn", "Al", "Al"], "frac_coords": [[0.5000, 0.5000, 0.5000], [0.2681, 0.2681, 0.1958], [0.1341, 0.1341, 0.5977], [0.0000, 0.0000, 0.0000], [0.5923, 0.5923, 0.2232], [0.7319, 0.7319, 0.8042], [0.8659, 0.8659, 0.4023], [0.4077, 0.4077, 0.7768]]}

---

{"formula": "VMo2HRu", "functional": "PBE-GGA", "state": "optimized geometry", "dft_energy_ev_per_atom": -8.607, "volume_a3_per_cell": 61.5, "lattice": [[-3.6095, -1.4453, 0.7852], [0.9020, -3.3227, -1.9698], [1.3557, -1.5907, 3.3040]], "species": ["Mo", "Ru", "Mo", "H", "V"], "frac_coords": [[0.5000, 0.0000, 0.0000], [0.5000, 0.5000, 0.5000], [0.0000, 0.5000, 0.0000], [0.0000, 0.0000, 0.0000], [0.0000, 0.0000, 0.5000]]}

---

{"formula": "NaCoSiCl2", "functional": "PBE-GGA", "state": "optimized geometry", "e_form_raw_ev_per_atom": -0.26, "dft_energy_ev_per_atom": -3.765, "volume_a3_per_cell": 105.1, "lattice": [[4.9352, 0.0000, 0.0000], [0.0000, 4.3145, 0.0000], [0.0000, 0.0000, 4.9352]], "species": ["Na", "Cl", "Cl", "Co", "Si"], "frac_coords": [[0.5000, 0.5000, 0.5000], [0.0000, 0.0000, 0.5000], [0.5000, 0.0000, 0.0000], [0.0000, 0.0000, 0.0000], [0.0000, 0.5000, 0.0000]]}